Entry 1:
ErPbF: relaxed, PBE-GGA.

Cell and atoms, written as extended XYZ:
```
3
Lattice="5.290 0.000 0.000 0.000 3.848 0.000 0.000 -1.924 3.332" Properties=species:S:1:pos:R:3 pbc="T T T"
Er 0.883 0.000 0.000
F 0.880 0.000 2.222
Pb 3.527 1.924 1.111
```

Results
total energy = -15.71 eV per cell
magnetization = 0.0 Bohr magnetons per cell
space group = P-6m2
formation energy without anion corrections = -1.855 eV/atom
energy above the lowest structure with this stoichiometry = 0 meV/atom

---

Entry 2:
ErPb2F11: relaxed, PBE-GGA.

Cell and atoms, written as extended XYZ:
```
28
Lattice="7.106 0.000 3.704 3.304 7.356 2.329 0.144 -0.159 8.391" Properties=species:S:1:pos:R:3 pbc="T T T"
F 9.555 5.955 9.360
F 7.515 5.000 4.606
F 0.000 0.000 0.000
F 3.039 2.197 9.818
F 7.057 3.303 10.777
F 3.599 2.080 5.668
F 5.675 5.678 11.212
F 4.879 1.519 3.212
F 3.497 3.894 3.646
F 5.520 2.022 8.956
F 5.277 3.599 7.212
F 6.468 7.061 6.615
F 4.087 0.136 7.808
F 2.600 4.046 7.584
F 8.841 5.779 6.832
F 7.954 3.151 6.839
F 5.034 5.175 5.468
F 6.956 5.117 8.756
F 9.326 6.750 12.016
F 1.228 0.447 2.408
F 0.999 1.242 5.064
F 1.713 1.418 7.591
Er 2.639 1.799 3.606
Er 7.916 5.398 10.818
Pb 3.687 2.227 7.789
Pb 6.813 1.212 10.460
Pb 3.742 5.985 3.964
Pb 6.868 4.970 6.634
```

Results
total energy = -135.16 eV per cell
magnetization = 0.0 Bohr magnetons per cell
space group = Ibam
formation energy without anion corrections = -2.501 eV/atom

---

Entry 3:
ErPb2F6: relaxed, PBE-GGA.

Cell and atoms, written as extended XYZ:
```
18
Lattice="5.849 0.000 0.000 0.000 5.849 0.000 0.000 0.000 11.029" Properties=species:S:1:pos:R:3 pbc="T T T"
F 1.510 1.510 0.000
F 4.434 1.415 5.515
F 4.725 1.125 9.509
F 4.049 4.049 7.035
F 4.339 4.339 0.000
F 4.049 4.049 3.994
F 1.125 4.725 9.509
F 1.800 1.800 3.994
F 1.800 1.800 7.035
F 4.725 1.125 1.520
F 1.125 4.725 1.520
F 1.415 4.434 5.515
Pb 2.925 2.925 9.408
Pb 0.000 0.000 7.136
Pb 2.925 2.925 1.622
Pb 0.000 0.000 3.893
Er 0.000 0.000 0.000
Er 2.925 2.925 5.515
```

Results
total energy = -97.42 eV per cell
magnetization = 2.0 Bohr magnetons per cell
space group = P4_2/mnm
formation energy without anion corrections = -2.834 eV/atom

---

Entry 4:
ErPb4F10: relaxed, PBE-GGA.

Cell and atoms, written as extended XYZ:
```
15
Lattice="-3.112 -0.364 5.365 3.653 -2.752 5.530 0.496 5.743 4.275" Properties=species:S:1:pos:R:3 pbc="T T T"
F 1.107 4.431 6.072
F 1.718 -1.596 6.017
F 2.460 1.485 10.255
F -0.680 4.222 9.153
F 0.365 1.350 1.835
F 1.297 1.404 6.244
F -0.259 1.222 8.926
F 0.673 1.276 13.335
F -1.422 1.141 4.915
F -0.070 -1.805 9.097
Pb 0.936 -0.039 4.138
Pb -0.851 2.679 6.883
Pb 0.101 2.664 11.032
Pb 1.888 -0.054 8.287
Er 0.000 0.000 0.000
```

Results
total energy = -78.04 eV per cell
magnetization = 0.0 Bohr magnetons per cell
space group = I4/m
formation energy without anion corrections = -2.662 eV/atom